A relaxed structure of Ti3V2CoP6O24. Source: Alexandria via LeMat-Bulk, functional PBE+U.

Magnetic moment ... 8.89 μB/f.u.
Raw total energy ... -837.27 eV for the cell shown

a b c (Å): 8.6561 8.6561 20.9164
angles (deg): 90.00 90.00 120.00
Space group R3 (No. 146, hexagonal axes)
Unique sites:
Ti (0.0000, 0.0000, 0.0000)
Ti (0.0000, 0.0000, 0.2116)
Ti (0.0000, 0.0000, 0.7084)
V (0.0000, 0.0000, 0.3554)
V (0.0000, 0.0000, 0.8558)
Co (0.0000, 0.0000, 0.4966)
P (0.9998, 0.2930, 0.6024)
P (0.0416, 0.6692, 0.7714)
O (0.0003, 0.8102, 0.1653)
O (0.0015, 0.2030, 0.5416)
O (0.0034, 0.1889, 0.6630)
O (0.0211, 0.8377, 0.7778)
O (0.0219, 0.1852, 0.2781)
O (0.1595, 0.6896, 0.7127)
O (0.1642, 0.4871, 0.6013)
O (0.1652, 0.6929, 0.0944)